The following is a PBE calculation of an optimized crystal structure of GeSbPd2, from Alexandria.

Lattice parameters (Å, degrees): 4.6672 4.6672 4.6672 60.00 60.00 60.00
Fractional coordinates of all 4 atoms:
Ge: 0.0000 0.0000 0.0000
Sb: 0.5000 0.5000 0.5000
Pd: 0.2500 0.2500 0.2500
Pd: 0.7500 0.7500 0.7500

Properties
Its symmetry is Fm-3m. The formation energy from raw total energies comes out at -0.25 eV per atom. For the energy above the most stable polymorph in this dataset, the calculation gives 167.5 meV/atom.

---

The following is a PBE calculation of an optimized crystal structure of TaMn5Nb4, from Alexandria.

Lattice parameters (Å, degrees): 3.0676 3.0676 15.3447 90.00 90.00 90.00
Fractional coordinates of all 10 atoms:
Ta: 0.0000 0.0000 0.0000
Mn: 0.5000 0.5000 0.0995
Mn: 0.5000 0.5000 0.2998
Mn: 0.5000 0.5000 0.5000
Mn: 0.5000 0.5000 0.7002
Mn: 0.5000 0.5000 0.9005
Nb: 0.0000 0.0000 0.1998
Nb: 0.0000 0.0000 0.3999
Nb: 0.0000 0.0000 0.6001
Nb: 0.0000 0.0000 0.8002

Properties
The calculation puts the energy of formation at -0.144 eV per atom. Its symmetry is P4/mmm.

---

The following is a PBE calculation of an optimized crystal structure of ErCu4Ni, from Alexandria.

Lattice parameters (Å, degrees): 4.2794 4.2794 6.5994 90.00 90.07 90.00
Fractional coordinates of all 6 atoms:
Er: 0.0000 0.0000 0.0000
Cu: 0.0000 0.5000 0.5000
Cu: 0.5000 0.0000 0.5000
Cu: 0.5003 0.5000 0.1689
Cu: 0.4997 0.5000 0.8311
Ni: 0.5000 0.5000 0.5000

Properties
The calculation puts the energy of formation at 0.662 eV per atom. Its symmetry is P2/m.

---

Magnetization? In order: 0.0, 0.0, 0.0 μB per cell.